VASP calculation (PBE-GGA) on a geometry-optimized ScRu2Se structure.

Cell: 3.106 3.976 5.239 Å, 90.00 90.00 90.00°
Positions (direct):
1 Ru 0.500 0.500 0.224
2 Ru 0.000 0.000 0.025
3 Sc 0.000 0.000 0.504
4 Se 0.500 0.500 0.747

## Properties
Uncorrected energy: -29.20 eV for the cell shown